Compound: Ac2CdFeO5
Source: Alexandria via LeMat-Bulk
Functional: PBE+U
Structure: optimized geometry

* energy: -6.53 eV/atom
* magnetization: 0.3341 μB/atom

abc: 7.3015 7.3015 5.6631
angles: 90.00 90.00 90.00
Space group P4/mbm (No. 127)
One atom of each set of equivalent atoms:
Ac: 0.1821 0.3179 0.0000 [4 per cell]
Cd: 0.0000 0.0000 0.5000 [2 per cell]
Fe: 0.0000 0.5000 0.5000 [2 per cell]
O: 0.0000 0.0000 0.0000 [2 per cell]
O: 0.1239 0.6239 0.2603 [8 per cell]